(1)
This record from Alexandria via LeMat-Bulk describes Y2ScSi2 at its PBEsol-relaxed geometry. The functional is meta-GGA SCAN.

Calculated values
The space group is No. 127.

Cell: 7.1705 7.1705 4.1804 Å, 90.00 90.00 90.00°
Element x y z (fractional)
Y  0.1761  0.3239  0.0000
Y  0.3239  0.8239  0.0000
Y  0.6761  0.1761  0.0000
Y  0.8239  0.6761  0.0000
Sc  0.0000  0.0000  0.5000
Sc  0.5000  0.5000  0.5000
Si  0.1209  0.6209  0.5000
Si  0.3791  0.1209  0.5000
Si  0.6209  0.8791  0.5000
Si  0.8791  0.3791  0.5000


(2)
This record from Alexandria via LeMat-Bulk describes Y5Sc5Si6 at its PBEsol-relaxed geometry. The functional is meta-GGA SCAN.

Calculated values
The space group is No. 38.

Cell: 5.9264 8.1236 8.1236 Å, 119.67 90.00 90.00°
Element x y z (fractional)
Y  0.0000  0.0000  0.0000
Y  0.0000  0.5082  0.7505
Y  0.0000  0.7505  0.5082
Y  0.5000  0.7520  0.9965
Y  0.5000  0.9965  0.7520
Sc  0.2506  0.0868  0.4195
Sc  0.2506  0.4195  0.0868
Sc  0.5000  0.5034  0.5034
Sc  0.7494  0.0868  0.4195
Sc  0.7494  0.4195  0.0868
Si  0.0000  0.1520  0.7512
Si  0.0000  0.3518  0.3518
Si  0.0000  0.7512  0.1520
Si  0.5000  0.1575  0.1575
Si  0.5000  0.3545  0.7457
Si  0.5000  0.7457  0.3545


The following calculated total energy values (in eV/atom) correspond, in order, to the records above: -18.82 -17.70.
The following formation energy without anion corrections values (in eV per atom) correspond, in order, to the records above: -0.829 -0.792.